(1)
The following is a PBE-GGA calculation of an optimized crystal structure of Na3UTe6Pb2, from Alexandria via LeMat-Bulk.

```
Na3UTe6Pb2
1.0
-7.600 1.194 2.007
5.537 -0.766 5.654
1.813 7.160 -2.682
Te Pb Na U
6 2 3 1
Cartesian
0.912 5.567 -0.295
-2.236 6.100 3.255
-1.163 2.019 5.273
-2.094 2.096 0.591
1.844 5.491 4.388
1.986 1.487 1.724
-3.197 0.537 3.229
1.133 -0.109 4.431
-0.125 3.793 2.489
-4.379 4.428 1.308
4.129 3.159 3.670
0.000 0.000 0.000
```

Output
**Calculated volume**: 33.70 A^3/atom

***

(2)
The following is a PBE-GGA calculation of an optimized crystal structure of Ba2PaRe2N6, from Alexandria via LeMat-Bulk.

```
Ba2PaRe2N6
1.0
-5.737 1.693 0.856
1.926 -1.327 -5.789
-0.975 -5.624 4.590
N Ba Pa Re
6 2 1 2
Cartesian
-0.801 -2.157 -1.101
-2.289 -3.886 3.356
0.278 -2.190 -4.113
-5.064 -3.067 3.770
-3.984 -3.101 0.759
-2.496 -1.371 -3.699
-3.420 -0.292 -1.018
-1.365 -4.965 0.676
-3.356 -1.965 2.723
-0.399 -1.649 0.588
-4.386 -3.609 -0.930
```

Output
**Calculated volume**: 18.72 A^3/atom

***

(3)
The following is a PBE-GGA calculation of an optimized crystal structure of Tl2CuAuCl6, from Alexandria via LeMat-Bulk.

```
Tl2CuAuCl6
1.0
7.153 0.000 0.003
0.000 7.154 0.003
3.579 3.580 5.386
Cl Tl Au Cu
6 2 1 1
Cartesian
5.256 5.255 0.004
1.899 5.257 0.003
7.152 7.154 2.189
3.580 3.581 3.202
5.254 1.898 0.003
5.476 5.480 5.387
7.153 3.580 2.693
3.579 7.154 2.698
3.577 3.577 0.003
0.000 0.000 0.000
```

Output
**Calculated volume**: 27.55 A^3/atom

***

Number 1: mass density 6.107 g/cm3, DOS at the Fermi energy 0.0452 states/eV per atom, formation energy (no corrections) -0.70 eV/atom. Number 2: mass density 7.759 g/cm3, DOS at the Fermi energy 0.4912 states/eV per atom, formation energy (no corrections) -0.70 eV/atom. Number 3: mass density 5.316 g/cm3, DOS at the Fermi energy 0.0526 states/eV per atom, formation energy (no corrections) -0.66 eV/atom.